Density functional theory data (PBE) for an optimized crystal structure of LiTcNi.

It has space group Pm (No. 6), with a = 4.3600 Å, b = 2.5815 Å, c = 6.9343 Å, α = 90.00°, β = 97.67° and γ = 90.00°. The distinct sites, in fractional coordinates, are Li at (0.0000, 0.0000, 0.0000), Li at (0.5004, 0.5000, 0.0023), Tc at (0.2650, 0.0000, 0.6208), Tc at (0.7275, 0.0000, 0.3816), Ni at (0.2076, 0.5000, 0.2965) and Ni at (0.7838, 0.5000, 0.7055).

The excess energy over the best structure of this formula in the dataset comes out at 5.5 kJ/mol of atoms. The value obtained for the density of states at the Fermi level is 1.0914 states/eV per atom. As for the crystal system: monoclinic. As for the formation energy: 0.120 eV per atom.